1.
7
Lattice="4.825 0.000 -1.538 -0.490 4.800 -1.538 0.018 0.020 8.394" Properties=species:S:1:pos:R:3 comment="PBE YPu2Hg4, optimized geometry" total_magnetization_mub_per_cell=11.71 energy_ev_per_fu=-37.36 ef_ev_per_atom=-0.15 pbc="T T T"
Hg 4.102 1.871 4.531
Hg 1.444 4.271 4.531
Hg 2.909 0.549 0.787
Hg 0.251 2.949 0.787
Pu 3.239 3.586 1.823
Pu 1.114 1.234 3.495
Y 0.000 0.000 0.000

=====

2.
4
Lattice="2.725 0.078 0.000 -0.934 2.561 0.000 0.000 0.000 9.120" Properties=species:S:1:pos:R:3 comment="PBE Li2TaFe, optimized geometry" total_magnetization_mub_per_cell=1.88 energy_ev_per_fu=-23.25 ef_ev_per_atom=0.22 pbc="T T T"
Ta 0.000 0.000 4.820
Li 0.000 0.000 8.877
Li 0.895 1.319 2.292
Fe 0.895 1.319 6.809

=====

3.
11
Lattice="-3.505 -2.309 -0.644 0.707 -2.557 5.325 -1.700 5.645 3.012" Properties=species:S:1:pos:R:3 comment="PBE Li2Zn5Rh4, optimized geometry" total_magnetization_mub_per_cell=0.00 energy_ev_per_fu=-42.67 ef_ev_per_atom=-0.28 pbc="T T T"
Rh -5.007 2.650 3.753
Rh 0.510 -1.872 3.940
Rh -2.370 -1.582 4.575
Rh -2.128 2.360 3.119
Zn -3.681 0.540 4.099
Zn -3.342 -0.718 6.770
Zn -1.156 1.496 0.924
Zn -1.752 -1.155 -0.322
Zn -0.817 0.238 3.594
Li -1.921 1.318 5.733
Li -2.577 -0.539 1.961

=====

4.
4
Lattice="3.263 0.000 0.000 1.631 2.826 0.000 1.631 0.942 11.035" Properties=species:S:1:pos:R:3 comment="PBE Tm2ScV, optimized geometry" total_magnetization_mub_per_cell=2.97 energy_ev_per_fu=-22.07 ef_ev_per_atom=0.58 pbc="T T T"
V 0.000 0.000 0.000
Tm 1.631 0.942 8.234
Tm 4.894 2.826 2.801
Sc 3.263 1.884 5.518

=====

5.
3
Lattice="-3.034 1.008 1.335 1.289 -0.354 3.196 2.832 5.727 -2.385" Properties=species:S:1:pos:R:3 comment="PBE LaErNi, optimized geometry" total_magnetization_mub_per_cell=0.00 energy_ev_per_fu=-15.90 ef_ev_per_atom=-0.21 pbc="T T T"
Er 1.140 3.522 -0.069
La 0.120 0.371 -0.007
Ni -0.173 2.488 2.223

=====

6.
12
Lattice="8.910 0.525 0.000 -3.118 8.363 0.000 -2.896 -4.444 7.178" Properties=species:S:1:pos:R:3 comment="PBE Ac4MgAu, optimized geometry" total_magnetization_mub_per_cell=0.00 energy_ev_per_fu=-20.85 ef_ev_per_atom=0.08 pbc="T T T"
Ac 1.632 5.049 5.788
Ac -0.351 3.617 2.269
Ac 5.519 -0.650 2.199
Ac -2.053 7.451 1.390
Ac -1.004 0.877 5.858
Ac -2.563 5.058 4.909
Ac 4.104 3.880 1.320
Ac 3.191 0.868 4.979
Mg 1.434 2.200 0.000
Mg 5.889 2.462 3.589
Au 4.355 6.683 0.000
Au 3.018 -1.943 3.589

=====

What did the second record say?
4
Lattice="2.725 0.078 0.000 -0.934 2.561 0.000 0.000 0.000 9.120" Properties=species:S:1:pos:R:3 comment="PBE Li2TaFe, optimized geometry" total_magnetization_mub_per_cell=1.88 energy_ev_per_fu=-23.25 ef_ev_per_atom=0.22 pbc="T T T"
Ta 0.000 0.000 4.820
Li 0.000 0.000 8.877
Li 0.895 1.319 2.292
Fe 0.895 1.319 6.809